This record from Alexandria via LeMat-Bulk describes a geometry-optimized HoBeRe structure. The functional is GGA-PBE.

- Crystal system: orthorhombic
- ΔE_f: 334 meV per atom

a b c (Å): 3.273 18.039 3.912
angles (deg): 90.00 90.00 90.00
Space group Cmcm (No. 63)
Symmetry-distinct sites (fractional):
Ho: 0.000 0.108 0.250 x4
Be: 0.000 0.481 0.250 x4
Re: 0.000 0.245 0.750 x4